[1]
First-principles (PBE) data for crystalline LiSm2Y3Te6 at its relaxed geometry, as listed in Alexandria.

space-group type: C2/m
DFT total energy: -0.20153 Ha/atom
formation energy without anion corrections: -1.3509 eV per atom
magnetic moment: 0.000 μB/cell
mass density: 6.24 g cm⁻³

a = 9.8065 Å, b = 9.8065 Å, c = 8.7686 Å
α = 102.99°, β = 102.99°, γ = 25.76°
Closest atoms and distances in Å follow each position.
Fractional coordinates of all 12 atoms:
Li: 0.0000 0.0000 0.0000  6 Te 3.01-3.05
Sm: 0.3300 0.3300 0.6587  6 Te 3.10-3.19
Sm: 0.6700 0.6700 0.3413  6 Te 3.10-3.19
Y: 0.0000 0.0000 0.5000  6 Te 3.04-3.14
Y: 0.3303 0.3303 0.1682  6 Te 3.04-3.14
Y: 0.6697 0.6697 0.8318  6 Te 3.04-3.14
Te: 0.1618 0.1618 0.0770  1 Li 3.01, 3 Y 3.09-3.13, 2 Sm 3.16
Te: 0.1632 0.1632 0.5883  3 Y 3.04, 3 Sm 3.10
Te: 0.4988 0.4988 0.2424  2 Li 3.05, 3 Y 3.14, 1 Sm 3.19
Te: 0.5012 0.5012 0.7576  2 Li 3.05, 3 Y 3.14, 1 Sm 3.19
Te: 0.8368 0.8368 0.4117  3 Y 3.04, 3 Sm 3.10
Te: 0.8382 0.8382 0.9230  1 Li 3.01, 3 Y 3.09-3.13, 2 Sm 3.16

[2]
First-principles (PBE) data for crystalline Tl3HgO at its relaxed geometry, as listed in Alexandria.

space-group type: Pm-3m
DFT total energy: -0.09675 Ha/atom
formation energy without anion corrections: -0.1610 eV per atom
magnetic moment: 0.000 μB/cell
mass density: 9.78 g cm⁻³

a = 5.2032 Å, b = 5.2032 Å, c = 5.2032 Å
α = 90.00°, β = 90.00°, γ = 90.00°
Closest atoms and distances in Å follow each position.
Fractional coordinates of all 5 atoms:
Tl: 0.0000 0.0000 0.5000  2 O 2.60
Tl: 0.0000 0.5000 0.0000  2 O 2.60
Tl: 0.5000 0.0000 0.0000  2 O 2.60
Hg: 0.5000 0.5000 0.5000  12 Tl 3.68
O: 0.0000 0.0000 0.0000  6 Tl 2.60